Computed, not measured: a relaxed structure of Co4HgP at the PBEsol level of DFT.

Geometry as POSCAR:
```
Co4HgP
1.0
-4.257 -2.148 -0.141
-0.433 -4.307 -2.005
-0.832 -3.827 2.724
Co Hg P
4 1 1
Cartesian
-2.068 -3.850 0.216
-2.486 -5.772 1.585
-4.206 -4.929 0.146
-2.285 -6.013 -0.791
-4.142 -7.712 0.434
0.000 0.000 0.000
```

Properties
ΔH_f (0 K): 0.44 eV per atom
Space group: F-43m
Theoretical density: 10.1 Mg/m³



Computed, not measured: a relaxed structure of CoHg2P at the PBEsol level of DFT.

Geometry as POSCAR:
```
CoHg2P
1.0
4.017 0.000 0.000
0.000 4.025 0.000
0.000 0.000 4.144
Co Hg P
1 2 1
Cartesian
0.000 2.012 2.072
0.000 0.000 0.000
2.009 2.012 0.000
2.009 0.000 2.072
```

Properties
ΔH_f (0 K): 0.59 eV per atom
Space group: P4/mmm
Theoretical density: 12.2 Mg/m³



Computed, not measured: a relaxed structure of TlCoHgP2 at the PBEsol level of DFT.

Geometry as POSCAR:
```
TlCoHgP2
1.0
-3.833 0.410 2.984
-0.812 -4.857 -0.376
2.942 -0.792 3.887
P Tl Co Hg
2 1 1 1
Cartesian
1.471 -0.396 1.944
-0.406 -2.429 -0.188
-0.851 -2.620 3.248
-1.916 0.205 1.492
0.000 0.000 0.000
```

Properties
ΔH_f (0 K): 1.27 eV per atom
Space group: P4/mmm
Theoretical density: 7.3 Mg/m³



Computed, not measured: a relaxed structure of Co3HgPb at the PBEsol level of DFT.

Geometry as POSCAR:
```
Co3HgPb
1.0
-4.481 -1.406 0.484
-0.038 -1.429 -4.500
1.487 -4.275 1.345
Pb Co Hg
1 3 1
Cartesian
0.000 0.000 0.000
-0.019 -0.714 -2.250
0.743 -2.137 0.672
-2.241 -0.703 0.242
-1.516 -3.555 -1.335
```

Properties
ΔH_f (0 K): 1.66 eV per atom
Space group: Pm-3m
Theoretical density: 9.2 Mg/m³



Computed, not measured: a relaxed structure of CoHgPb at the PBEsol level of DFT.

Geometry as POSCAR:
```
CoHgPb
1.0
4.410 0.000 0.000
2.205 3.820 0.000
2.205 1.273 3.601
Pb Co Hg
1 1 1
Cartesian
4.410 2.546 1.801
6.616 3.820 2.701
0.000 0.000 0.000
```

Properties
ΔH_f (0 K): 0.36 eV per atom
Space group: F-43m
Theoretical density: 12.8 Mg/m³



Computed, not measured: a relaxed structure of CoHg3Pt at the PBEsol level of DFT.

Geometry as POSCAR:
```
CoHg3Pt
1.0
5.123 0.000 0.000
0.000 5.123 0.000
0.000 0.000 5.123
Co Hg Pt
1 3 1
Cartesian
2.561 2.561 2.561
0.000 2.561 0.000
0.000 0.000 2.561
2.561 0.000 0.000
0.000 0.000 0.000
```

Properties
ΔH_f (0 K): 0.94 eV per atom
Space group: Pm-3m
Theoretical density: 10.6 Mg/m³